# GGA+U Sr2V2O5, optimized geometry
# spin magnetization = 4.00 μB per formula unit
# electronic total energy = -0.26433 Ha/atom
data_Sr2V2O5
_space_group_name_H-M_alt 'I m a 2'
_space_group_IT_number 46
_cell_length_a 15.7841
_cell_length_b 5.8200
_cell_length_c 5.5893
_cell_angle_alpha 90.00
_cell_angle_beta 90.00
_cell_angle_gamma 90.00
loop_
_space_group_symop_operation_xyz
'x,y,z'
'-x,-y,z'
'-x+1/2,y,z'
'x+1/2,-y,z'
'x+1/2,y+1/2,z+1/2'
'-x+1/2,-y+1/2,z+1/2'
'-x,y+1/2,z+1/2'
'x,-y+1/2,z+1/2'
loop_
_atom_site_label
_atom_site_fract_x
_atom_site_fract_y
_atom_site_fract_z
Sr1 0.1078 0.0229 0.0000
V1 0.0000 0.0000 0.5038
V2 0.2500 0.5714 0.9615
O1 0.0104 0.7482 0.7522
O2 0.1388 0.0530 0.5156
O3 0.2500 0.6292 0.6110